A plane-wave DFT calculation with PBE-GGA was carried out for crystalline Tm3Ag2Pb3 at its relaxed geometry.

Cell lengths 6.1660, 6.1660, 15.6805 Å; angles 90.00, 90.00, 136.34 degrees
Positions (direct):
Tm (0.0676, 0.9324, 0.6134)
Tm (0.0676, 0.9324, 0.8866)
Tm (0.3344, 0.6656, 0.7500)
Tm (0.6656, 0.3344, 0.2500)
Tm (0.9324, 0.0676, 0.1134)
Tm (0.9324, 0.0676, 0.3866)
Ag (0.2182, 0.7818, 0.1201)
Ag (0.2182, 0.7818, 0.3799)
Ag (0.7818, 0.2182, 0.6201)
Ag (0.7818, 0.2182, 0.8799)
Pb (0.3721, 0.6279, 0.5376)
Pb (0.3721, 0.6279, 0.9624)
Pb (0.3930, 0.6070, 0.2500)
Pb (0.6070, 0.3930, 0.7500)
Pb (0.6279, 0.3721, 0.0376)
Pb (0.6279, 0.3721, 0.4624)

Computed properties:
**Formation enthalpy at 0 K**: -215 kJ/mol of formula units